Entry 1:
A plane-wave DFT calculation with PBE was carried out for an optimized crystal structure of Cs7K2Na2.

Calculated values
ΔE_f (eV per atom): 0.0175
Final energy (eV per atom): -0.96
Energy relative to the lowest polymorph listed for this composition (eV per atom): 0.0000

POSCAR file:
```
Cs7K2Na2
1.0
6.1004 -6.9646 0.0000
6.1004 6.9646 0.0000
-3.5801 0.0000 11.5806
Cs K Na
7 2 2
Direct
0.0000 0.0000 0.0000
0.1194 0.4868 0.8253
0.1591 0.1591 0.4218
0.4868 0.1194 0.8253
0.5132 0.8806 0.1747
0.8409 0.8409 0.5782
0.8806 0.5132 0.1747
0.3233 0.6767 0.5000
0.6767 0.3233 0.5000
0.3880 0.3880 0.1840
0.6120 0.6120 0.8160
```

---

Entry 2:
A plane-wave DFT calculation with PBE was carried out for an optimized crystal structure of Cs2KNa2.

Calculated values
ΔE_f (eV per atom): 0.0678
Final energy (eV per atom): -1.02
Energy relative to the lowest polymorph listed for this composition (eV per atom): 0.0467

POSCAR file:
```
Cs2KNa2
1.0
12.3428 0.0000 0.0000
0.0000 12.3428 0.0000
0.0000 0.0000 4.7267
Cs K Na
4 2 4
Direct
0.1387 0.3613 0.0000
0.3613 0.8613 0.0000
0.6387 0.1387 0.0000
0.8613 0.6387 0.0000
0.0000 0.0000 0.0000
0.5000 0.5000 0.0000
0.1604 0.6604 0.5000
0.3396 0.1604 0.5000
0.6604 0.8396 0.5000
0.8396 0.3396 0.5000
```

---

Entry 3:
A plane-wave DFT calculation with PBE was carried out for an optimized crystal structure of Cs2K12Na.

Calculated values
ΔE_f (eV per atom): 0.0532
Final energy (eV per atom): -1.03

POSCAR file:
```
Cs2K12Na
1.0
8.8935 0.0000 0.0000
0.0000 8.8935 0.0000
0.0000 0.0000 30.4351
Cs K Na
4 24 2
Direct
0.2500 0.7500 0.2414
0.2500 0.7500 0.7586
0.7500 0.2500 0.2414
0.7500 0.2500 0.7586
0.9999 0.0001 0.4194
0.0001 0.9999 0.5806
0.0001 0.5001 0.4194
0.9999 0.4999 0.5806
0.0762 0.5762 0.0655
0.0762 0.9238 0.9345
0.2500 0.2500 0.1674
0.2500 0.2500 0.3119
0.2500 0.2500 0.6881
0.2500 0.2500 0.8326
0.4238 0.5762 0.9345
0.4238 0.9238 0.0655
0.4999 0.9999 0.4194
0.5001 0.0001 0.5806
0.5001 0.4999 0.4194
0.4999 0.5001 0.5806
0.5762 0.0762 0.9345
0.5762 0.4238 0.0655
0.7500 0.7500 0.1674
0.7500 0.7500 0.3119
0.7500 0.7500 0.6881
0.7500 0.7500 0.8326
0.9238 0.0762 0.0655
0.9238 0.4238 0.9345
0.2500 0.7500 0.5000
0.7500 0.2500 0.5000
```

---

Entry 4:
A plane-wave DFT calculation with PBE was carried out for an optimized crystal structure of CsK22Na6.

Calculated values
ΔE_f (eV per atom): 0.0318
Final energy (eV per atom): -1.10

POSCAR file:
```
CsK22Na6
1.0
0.0000 9.9828 9.9828
9.9828 0.0000 9.9828
9.9828 9.9828 0.0000
Cs K Na
1 22 6
Direct
0.0000 0.0000 0.0000
0.0000 0.0000 0.3485
0.0000 0.0000 0.6515
0.0000 0.3485 0.0000
0.0000 0.3485 0.6515
0.0000 0.6515 0.0000
0.0000 0.6515 0.3485
0.1426 0.6191 0.6191
0.2500 0.2500 0.2500
0.3485 0.0000 0.0000
0.3485 0.0000 0.6515
0.3485 0.6515 0.0000
0.3809 0.3809 0.3809
0.3809 0.3809 0.8574
0.3809 0.8574 0.3809
0.6191 0.1426 0.6191
0.6191 0.6191 0.1426
0.6191 0.6191 0.6191
0.6515 0.0000 0.0000
0.6515 0.0000 0.3485
0.6515 0.3485 0.0000
0.7500 0.7500 0.7500
0.8574 0.3809 0.3809
0.2668 0.2668 0.7332
0.2668 0.7332 0.2668
0.2668 0.7332 0.7332
0.7332 0.2668 0.2668
0.7332 0.2668 0.7332
0.7332 0.7332 0.2668
```

---

Entry 5:
A plane-wave DFT calculation with PBE was carried out for an optimized crystal structure of Cs3K9Na.

Calculated values
ΔE_f (eV per atom): 0.0404
Final energy (eV per atom): -1.02

POSCAR file:
```
Cs3K9Na
1.0
11.1354 0.0000 0.0000
0.0000 13.5958 0.0000
-2.7419 0.0000 13.7095
Cs K Na
6 18 2
Direct
0.0000 0.0000 0.0000
0.0000 0.5000 0.0000
0.3512 0.0860 0.2406
0.3512 0.4140 0.2406
0.6488 0.5860 0.7594
0.6488 0.9140 0.7594
0.0147 0.2500 0.6706
0.0485 0.5895 0.6469
0.0485 0.9105 0.6469
0.3095 0.7500 0.8938
0.3290 0.7500 0.2264
0.3399 0.0879 0.5587
0.3399 0.4121 0.5587
0.3534 0.0916 0.8885
0.3534 0.4084 0.8885
0.6466 0.5916 0.1115
0.6466 0.9084 0.1115
0.6601 0.5879 0.4413
0.6601 0.9121 0.4413
0.6710 0.2500 0.7736
0.6905 0.2500 0.1062
0.9515 0.0895 0.3531
0.9515 0.4105 0.3531
0.9853 0.7500 0.3294
0.3438 0.7500 0.5350
0.6562 0.2500 0.4650
```

---

Entry 6:
A plane-wave DFT calculation with PBE was carried out for an optimized crystal structure of Cs2K2Na.

Calculated values
ΔE_f (eV per atom): 0.1134
Final energy (eV per atom): -0.93
Energy relative to the lowest polymorph listed for this composition (eV per atom): 0.0999

POSCAR file:
```
Cs2K2Na
1.0
10.9875 0.0000 0.0000
0.0000 10.9875 0.0000
0.0000 0.0000 7.3497
Cs K Na
4 4 2
Direct
0.1538 0.3462 0.0000
0.3462 0.8462 0.0000
0.6538 0.1538 0.0000
0.8462 0.6538 0.0000
0.1578 0.6578 0.5000
0.3422 0.1578 0.5000
0.6578 0.8422 0.5000
0.8422 0.3422 0.5000
0.0000 0.0000 0.0000
0.5000 0.5000 0.0000
```

---

Entry 7:
A plane-wave DFT calculation with PBE was carried out for an optimized crystal structure of CsK2Na3.

Calculated values
ΔE_f (eV per atom): 0.0330
Final energy (eV per atom): -1.13
Energy relative to the lowest polymorph listed for this composition (eV per atom): 0.0061

POSCAR file:
```
CsK2Na3
1.0
3.4964 -10.5458 0.0000
3.4964 10.5458 0.0000
0.0000 0.0000 4.7725
Cs K Na
1 2 3
Direct
0.0000 0.0000 0.0000
0.3370 0.6630 0.0000
0.6630 0.3370 0.0000
0.1802 0.8198 0.5000
0.5000 0.5000 0.5000
0.8198 0.1802 0.5000
```

---

Entry 8:
A plane-wave DFT calculation with PBE was carried out for an optimized crystal structure of Cs4K5Na2.

Calculated values
ΔE_f (eV per atom): 0.0306
Final energy (eV per atom): -1.02

POSCAR file:
```
Cs4K5Na2
1.0
11.7311 0.0000 0.0000
0.0000 5.1750 0.0000
-0.7528 0.0000 14.6212
Cs K Na
4 5 2
Direct
0.1639 0.0000 0.3639
0.2418 0.0000 0.9455
0.7582 0.0000 0.0545
0.8361 0.0000 0.6361
0.1930 0.5000 0.6621
0.4411 0.5000 0.1876
0.5000 0.5000 0.5000
0.5589 0.5000 0.8124
0.8070 0.5000 0.3379
0.0554 0.5000 0.1288
0.9446 0.5000 0.8712
```